Run i
First-principles (PBE) data for a relaxed structure of AlWSeBr2, as listed in Alexandria via LeMat-Bulk.

## Properties
space group: No. 123

abc: 5.3176 5.3176 4.8614
angles: 90.00 90.00 90.00
With the nearest neighbours (Å) after each atom.
Sites, in units of the cell vectors:
Se (0.0000, 0.0000, 0.5000)  2 W 2.43
Br (0.0000, 0.5000, 0.0000)  2 W 2.66
Br (0.5000, 0.0000, 0.0000)  2 W 2.66
W (0.0000, 0.0000, 0.0000)  2 Se 2.43, 4 Br 2.66
Al (0.5000, 0.5000, 0.5000)  8 Br 3.60, 4 Se 3.76

***

Run ii
First-principles (PBE) data for a relaxed structure of AlWSeBr2, as listed in Alexandria via LeMat-Bulk.

## Properties
space group: No. 123

abc: 4.8912 4.8912 5.2513
angles: 90.00 90.00 90.00
With the nearest neighbours (Å) after each atom.
Sites, in units of the cell vectors:
Se (0.0000, 0.0000, 0.5000)  2 Al 2.63
Br (0.0000, 0.5000, 0.0000)  2 Al 2.45
Br (0.5000, 0.0000, 0.0000)  2 Al 2.45
W (0.5000, 0.5000, 0.5000)  4 Se 3.46, 8 Br 3.59
Al (0.0000, 0.0000, 0.0000)  4 Br 2.45, 2 Se 2.63

***

Of them, the most stable is run i and the least stable is run ii.

***

Run i
First-principles (PBE) data for a relaxed structure of YAlSe2Br, as listed in Alexandria via LeMat-Bulk.

## Properties
space group: No. 123

abc: 5.0105 5.0105 4.8739
angles: 90.00 90.00 90.00
With the nearest neighbours (Å) after each atom.
Sites, in units of the cell vectors:
Y (0.5000, 0.5000, 0.5000)  8 Se 3.49, 4 Br 3.54
Se (0.0000, 0.5000, 0.0000)  2 Al 2.51
Se (0.5000, 0.0000, 0.0000)  2 Al 2.51
Br (0.0000, 0.0000, 0.5000)  2 Al 2.44
Al (0.0000, 0.0000, 0.0000)  2 Br 2.44, 4 Se 2.51

***

Run ii
First-principles (PBE) data for a relaxed structure of YAlSe2Br, as listed in Alexandria via LeMat-Bulk.

## Properties
space group: No. 123

abc: 5.4894 5.4894 5.6310
angles: 90.00 90.00 90.00
With the nearest neighbours (Å) after each atom.
Sites, in units of the cell vectors:
Y (0.0000, 0.0000, 0.0000)  4 Se 2.74, 2 Br 2.82
Se (0.0000, 0.5000, 0.0000)  2 Y 2.74
Se (0.5000, 0.0000, 0.0000)  2 Y 2.74
Br (0.0000, 0.0000, 0.5000)  2 Y 2.82
Al (0.5000, 0.5000, 0.5000)  4 Br 3.88, 8 Se 3.93

***

Of them, the most stable is run i and the least stable is run ii.